Entry 1:
A relaxed Pr3Er6Tm crystal, computed with GGA-PBE.

CIF file:
```
data_Pr3Er6Tm
_chemical_formula_sum 'Pr12 Er24 Tm4'
_cell_length_a 10.986
_cell_length_b 18.868
_cell_length_c 6.307
_cell_angle_alpha 90.00
_cell_angle_beta 90.00
_cell_angle_gamma 90.00
_symmetry_space_group_name_H-M 'C m c 21'
_symmetry_Int_Tables_number 36
_symmetry_space_group_name_Hall 'C 2c -2'
loop_
_atom_site_label
_atom_site_type_symbol
_atom_site_fract_x
_atom_site_fract_y
_atom_site_fract_z
Pr1 Pr 0.000 0.111 0.000
Pr2 Pr 0.174 0.388 0.603
Er1 Er 0.000 0.227 0.422
Er2 Er 0.000 0.459 0.183
Er3 Er 0.166 0.047 0.522
Er4 Er 0.243 0.210 0.696
Tm1 Tm 0.000 0.302 0.934
```

Output
Offset from the most stable computed form   0 meV per atom
Magnetic moment   0.000 μB/f.u.

Entry 2:
A relaxed AlZnCrRu crystal, computed with GGA-PBE.

CIF file:
```
data_AlZnCrRu
_chemical_formula_sum 'Al4 Zn4 Cr4 Ru4'
_cell_length_a 6.070
_cell_length_b 6.070
_cell_length_c 6.070
_cell_angle_alpha 90.00
_cell_angle_beta 90.00
_cell_angle_gamma 90.00
_symmetry_space_group_name_H-M 'F -4 3 m'
_symmetry_Int_Tables_number 216
_symmetry_space_group_name_Hall 'F -4 2 3'
loop_
_atom_site_label
_atom_site_type_symbol
_atom_site_fract_x
_atom_site_fract_y
_atom_site_fract_z
Al1 Al 0.000 0.000 0.000
Zn1 Zn 0.000 0.000 0.500
Cr1 Cr 0.250 0.250 0.250
Ru1 Ru 0.250 0.250 0.750
```

Output
Magnetic moment   3.479 μB/f.u.
Total DFT energy (no corrections)   -24.49 eV/f.u.

Entry 3:
A relaxed Ni2BiAs2 crystal, computed with GGA-PBE.

CIF file:
```
data_Ni2BiAs2
_chemical_formula_sum 'Ni4 Bi2 As4'
_cell_length_a 3.948
_cell_length_b 3.948
_cell_length_c 11.217
_cell_angle_alpha 90.00
_cell_angle_beta 90.00
_cell_angle_gamma 90.00
_symmetry_space_group_name_H-M 'I 4/m m m'
_symmetry_Int_Tables_number 139
_symmetry_space_group_name_Hall '-I 4 2'
loop_
_atom_site_label
_atom_site_type_symbol
_atom_site_fract_x
_atom_site_fract_y
_atom_site_fract_z
Ni1 Ni 0.000 0.000 0.116
Bi1 Bi 0.000 0.000 0.500
As1 As 0.000 0.500 0.250
```

Output
Offset from the most stable computed form   0 meV per atom
Magnetic moment   0.000 μB/f.u.

Entry 4:
A relaxed TaCd3Ge crystal, computed with GGA-PBE.

CIF file:
```
data_TaCd3Ge
_chemical_formula_sum 'Ta1 Cd3 Ge1'
_cell_length_a 5.369
_cell_length_b 5.369
_cell_length_c 5.369
_cell_angle_alpha 90.00
_cell_angle_beta 90.00
_cell_angle_gamma 90.00
_symmetry_space_group_name_H-M 'P m -3 m'
_symmetry_Int_Tables_number 221
_symmetry_space_group_name_Hall '-P 4 2 3'
loop_
_atom_site_label
_atom_site_type_symbol
_atom_site_fract_x
_atom_site_fract_y
_atom_site_fract_z
Ta1 Ta 0.000 0.000 0.000
Cd1 Cd 0.000 0.000 0.500
Ge1 Ge 0.500 0.500 0.500
```

Output
Offset from the most stable computed form   12 meV per atom
Magnetic moment   0.446 μB/f.u.

Entry 5:
A relaxed LiZn7Ag4 crystal, computed with GGA-PBE.

CIF file:
```
data_LiZn7Ag4
_chemical_formula_sum 'Li2 Zn14 Ag8'
_cell_length_a 12.815
_cell_length_b 4.650
_cell_length_c 7.766
_cell_angle_alpha 90.00
_cell_angle_beta 120.93
_cell_angle_gamma 90.00
_symmetry_space_group_name_H-M 'C 1 2/m 1'
_symmetry_Int_Tables_number 12
_symmetry_space_group_name_Hall '-C 2y'
loop_
_atom_site_label
_atom_site_type_symbol
_atom_site_fract_x
_atom_site_fract_y
_atom_site_fract_z
Li1 Li 0.000 0.000 0.000
Zn1 Zn 0.000 0.500 0.000
Zn2 Zn 0.053 0.500 0.713
Zn3 Zn 0.074 0.000 0.427
Zn4 Zn 0.234 0.000 0.242
Ag1 Ag 0.178 0.500 0.363
Ag2 Ag 0.186 0.000 0.861
```

Output
Magnetic moment   0.000 μB/f.u.
Total DFT energy (no corrections)   -21.72 eV/f.u.

Entry 6:
A relaxed PaFePd crystal, computed with GGA-PBE.

CIF file:
```
data_PaFePd
_chemical_formula_sum 'Pa1 Fe1 Pd1'
_cell_length_a 4.3062
_cell_length_b 4.3062
_cell_length_c 3.2979
_cell_angle_alpha 90.00
_cell_angle_beta 90.00
_cell_angle_gamma 120.00
_symmetry_space_group_name_H-M 'P 3 m 1'
_symmetry_Int_Tables_number 156
_symmetry_space_group_name_Hall 'P 3 -2"'
loop_
_atom_site_label
_atom_site_type_symbol
_atom_site_fract_x
_atom_site_fract_y
_atom_site_fract_z
Pa1 Pa 0.0000 0.0000 0.0000
Fe1 Fe 0.6667 0.3333 0.1183
Pd1 Pd 0.3333 0.6667 0.5479
```

Output
Offset from the most stable computed form   162 meV per atom
Magnetic moment   0.001 μB/f.u.

Entry 7:
A relaxed K3CeTm2O6 crystal, computed with GGA-PBE.

CIF file:
```
data_K3CeTm2O6
_chemical_formula_sum 'K6 Ce2 Tm4 O12'
_cell_length_a 6.064
_cell_length_b 10.504
_cell_length_c 6.578
_cell_angle_alpha 90.00
_cell_angle_beta 107.89
_cell_angle_gamma 90.00
_symmetry_space_group_name_H-M 'C 1 2/m 1'
_symmetry_Int_Tables_number 12
_symmetry_space_group_name_Hall '-C 2y'
loop_
_atom_site_label
_atom_site_type_symbol
_atom_site_fract_x
_atom_site_fract_y
_atom_site_fract_z
K1 K 0.000 0.000 0.000
K2 K 0.000 0.332 0.000
Ce1 Ce 0.000 0.500 0.500
Tm1 Tm 0.000 0.167 0.500
O1 O 0.215 0.000 0.684
O2 O 0.235 0.327 0.684
```

Output
Formation energy without anion corrections   -2.730 eV/atom
Magnetic moment   0.996 μB/f.u.

Entry 8:
A relaxed YSc2Si crystal, computed with GGA-PBE.

CIF file:
```
data_YSc2Si
_chemical_formula_sum 'Y2 Sc4 Si2'
_cell_length_a 6.085
_cell_length_b 10.239
_cell_length_c 3.209
_cell_angle_alpha 90.00
_cell_angle_beta 115.28
_cell_angle_gamma 90.00
_symmetry_space_group_name_H-M 'C 1 2/m 1'
_symmetry_Int_Tables_number 12
_symmetry_space_group_name_Hall '-C 2y'
loop_
_atom_site_label
_atom_site_type_symbol
_atom_site_fract_x
_atom_site_fract_y
_atom_site_fract_z
Y1 Y 0.000 0.000 0.000
Sc1 Sc 0.250 0.250 0.500
Si1 Si 0.000 0.500 0.000
```

Output
Formation energy without anion corrections   -0.111 eV/atom
Magnetic moment   0.000 μB/f.u.

Entry 9:
A relaxed MgAs2RhS crystal, computed with GGA-PBE.

CIF file:
```
data_MgAs2RhS
_chemical_formula_sum 'Mg1 As2 Rh1 S1'
_cell_length_a 4.687
_cell_length_b 4.687
_cell_length_c 5.141
_cell_angle_alpha 90.00
_cell_angle_beta 90.00
_cell_angle_gamma 90.00
_symmetry_space_group_name_H-M 'P 4/m m m'
_symmetry_Int_Tables_number 123
_symmetry_space_group_name_Hall '-P 4 2'
loop_
_atom_site_label
_atom_site_type_symbol
_atom_site_fract_x
_atom_site_fract_y
_atom_site_fract_z
Mg1 Mg 0.000 0.000 0.000
As1 As 0.000 0.500 0.500
Rh1 Rh 0.500 0.500 0.500
S1 S 0.500 0.500 0.000
```

Output
Formation energy without anion corrections   0.238 eV/atom
Magnetic moment   0.000 μB/f.u.

Entry 10:
A relaxed PrAlCuNi crystal, computed with GGA-PBE.

CIF file:
```
data_PrAlCuNi
_chemical_formula_sum 'Pr4 Al4 Cu4 Ni4'
_cell_length_a 6.580
_cell_length_b 6.580
_cell_length_c 6.580
_cell_angle_alpha 90.00
_cell_angle_beta 90.00
_cell_angle_gamma 90.00
_symmetry_space_group_name_H-M 'F -4 3 m'
_symmetry_Int_Tables_number 216
_symmetry_space_group_name_Hall 'F -4 2 3'
loop_
_atom_site_label
_atom_site_type_symbol
_atom_site_fract_x
_atom_site_fract_y
_atom_site_fract_z
Pr1 Pr 0.000 0.000 0.000
Al1 Al 0.000 0.000 0.500
Cu1 Cu 0.250 0.250 0.750
Ni1 Ni 0.250 0.250 0.250
```

Output
Offset from the most stable computed form   176 meV per atom
Magnetic moment   0.000 μB/f.u.

Entry 11:
A relaxed MnRhPb crystal, computed with GGA-PBE.

CIF file:
```
data_MnRhPb
_chemical_formula_sum 'Mn1 Rh1 Pb1'
_cell_length_a 4.4699
_cell_length_b 4.4699
_cell_length_c 3.1311
_cell_angle_alpha 90.00
_cell_angle_beta 90.00
_cell_angle_gamma 120.00
_symmetry_space_group_name_H-M 'P 3 m 1'
_symmetry_Int_Tables_number 156
_symmetry_space_group_name_Hall 'P 3 -2"'
loop_
_atom_site_label
_atom_site_type_symbol
_atom_site_fract_x
_atom_site_fract_y
_atom_site_fract_z
Mn1 Mn 0.0000 0.0000 0.0000
Rh1 Rh 0.3333 0.6667 0.7050
Pb1 Pb 0.6667 0.3333 0.3865
```

Output
Magnetic moment   4.055 μB/f.u.
Total DFT energy (no corrections)   -19.57 eV/f.u.

Entry 12:
A relaxed NaGdIr4 crystal, computed with GGA-PBE.

CIF file:
```
data_NaGdIr4
_chemical_formula_sum 'Na4 Gd4 Ir16'
_cell_length_a 7.534
_cell_length_b 7.534
_cell_length_c 7.534
_cell_angle_alpha 90.00
_cell_angle_beta 90.00
_cell_angle_gamma 90.00
_symmetry_space_group_name_H-M 'F -4 3 m'
_symmetry_Int_Tables_number 216
_symmetry_space_group_name_Hall 'F -4 2 3'
loop_
_atom_site_label
_atom_site_type_symbol
_atom_site_fract_x
_atom_site_fract_y
_atom_site_fract_z
Na1 Na 0.000 0.000 0.000
Gd1 Gd 0.250 0.250 0.750
Ir1 Ir 0.125 0.125 0.375
```

Output
Magnetic moment   6.547 μB/f.u.
Total DFT energy (no corrections)   -52.93 eV/f.u.

> Which formula does entry 10 have?

PrAlCuNi

> What is the magnetic moment in the third record?

0.000 μB/f.u.

> Which value of magnetic moment does entry 1 give?

0.000 μB/f.u.

> Which value of magnetic moment does entry 5 give?

0.000 μB/f.u.